Material: ScBeSe2
Method: DFT, PBE
State: relaxed

Cell and atoms, written as POSCAR:
```
ScBeSe2
1.0
3.9338 0.0000 0.0000
-1.9669 3.4068 0.0000
0.0000 0.0000 21.4297
Sc Be Se
3 3 6
Direct
0.0000 0.0000 0.0000
0.3333 0.6667 0.6667
0.6667 0.3333 0.3333
0.0000 0.0000 0.5000
0.3333 0.6667 0.1667
0.6667 0.3333 0.8333
0.0000 0.0000 0.4044
0.0000 0.0000 0.5956
0.3333 0.6667 0.0711
0.3333 0.6667 0.2623
0.6667 0.3333 0.7377
0.6667 0.3333 0.9289
```

Results
size of the total moment = 0.0 μB/f.u.
uncorrected formation energy = -0.80 eV per atom
D(E_F) = 0.8483 states/eV per atom
volume = 23.9 A^3/atom



Material: ScBeSe2
Method: DFT, PBE
State: relaxed

Cell and atoms, written as POSCAR:
```
ScBeSe2
1.0
3.5234 0.0000 0.0000
0.0000 3.7302 0.0000
0.0000 0.0000 5.8632
Sc Be Se
1 1 2
Direct
0.0000 0.0000 0.0000
0.0000 0.5000 0.5000
0.5000 0.0000 0.5000
0.5000 0.5000 0.0000
```

Results
size of the total moment = 0.0 μB/f.u.
uncorrected formation energy = -0.56 eV per atom
D(E_F) = 0.2952 states/eV per atom
volume = 19.3 A^3/atom



Material: ScBeSe2
Method: DFT, PBE
State: relaxed

Cell and atoms, written as POSCAR:
```
ScBeSe2
1.0
3.5367 0.0000 0.0000
0.0000 5.2621 0.0000
0.0000 0.0000 7.6405
Sc Be Se
2 2 4
Direct
0.0000 0.0000 0.0000
0.5000 0.5000 0.5000
0.0000 0.0000 0.5000
0.5000 0.5000 0.0000
0.0000 0.5000 0.1962
0.0000 0.5000 0.8038
0.5000 0.0000 0.3038
0.5000 0.0000 0.6962
```

Results
size of the total moment = 0.0 μB/f.u.
uncorrected formation energy = -0.65 eV per atom
D(E_F) = 0.5065 states/eV per atom
volume = 17.8 A^3/atom



Material: ScBeSe2
Method: DFT, PBE
State: relaxed

Cell and atoms, written as POSCAR:
```
ScBeSe2
1.0
3.6590 0.0000 0.0000
0.0000 3.7136 0.0000
-1.8207 0.0000 6.5190
Sc Be Se
1 1 2
Direct
0.0000 0.0000 0.0000
0.4155 0.5000 0.8295
0.3358 0.0000 0.6703
0.5809 0.5000 0.1626
```

Results
size of the total moment = 0.0 μB/f.u.
uncorrected formation energy = -1.06 eV per atom
D(E_F) = 0.3351 states/eV per atom
volume = 22.1 A^3/atom



Material: ScBeSe2
Method: DFT, PBE
State: relaxed

Cell and atoms, written as POSCAR:
```
ScBeSe2
1.0
4.5438 0.0000 0.0000
0.0000 4.5438 0.0000
0.0000 0.0000 3.3884
Sc Be Se
1 1 2
Direct
0.0000 0.0000 0.0000
0.5000 0.5000 0.0000
0.0000 0.5000 0.5000
0.5000 0.0000 0.5000
```

Results
size of the total moment = 0.0 μB/f.u.
uncorrected formation energy = -0.50 eV per atom
D(E_F) = 0.4266 states/eV per atom
volume = 17.5 A^3/atom



Material: Sc2BeSe2
Method: DFT, PBE
State: relaxed

Cell and atoms, written as POSCAR:
```
Sc2BeSe2
1.0
4.6527 0.0000 0.0000
0.0000 4.6527 0.0000
0.0000 0.0000 11.7890
Sc Be Se
4 2 4
Direct
0.0000 0.0000 0.1404
0.0000 0.0000 0.8596
0.5000 0.5000 0.3596
0.5000 0.5000 0.6404
0.0000 0.0000 0.5000
0.5000 0.5000 0.0000
0.0000 0.5000 0.2500
0.0000 0.5000 0.7500
0.5000 0.0000 0.2500
0.5000 0.0000 0.7500
```

Results
size of the total moment = 0.0 μB/f.u.
uncorrected formation energy = -0.32 eV per atom
E above lowest polymorph = 0.406 eV/atom
D(E_F) = 0.4779 states/eV per atom
volume = 25.5 A^3/atom



Material: ScBeSe
Method: DFT, PBE
State: relaxed

Cell and atoms, written as POSCAR:
```
ScBeSe
1.0
6.2508 0.0000 0.0000
0.0000 6.2508 0.0000
0.0000 0.0000 6.2508
Sc Be Se
4 4 4
Direct
0.0000 0.0000 0.0000
0.0000 0.5000 0.5000
0.5000 0.0000 0.5000
0.5000 0.5000 0.0000
0.2500 0.2500 0.7500
0.2500 0.7500 0.2500
0.7500 0.2500 0.2500
0.7500 0.7500 0.7500
0.2500 0.2500 0.2500
0.2500 0.7500 0.7500
0.7500 0.2500 0.7500
0.7500 0.7500 0.2500
```

Results
size of the total moment = 0.0 μB/f.u.
uncorrected formation energy = -0.01 eV per atom
E above lowest polymorph = 0.412 eV/atom
D(E_F) = 0.9656 states/eV per atom
volume = 20.4 A^3/atom



Material: ScBeSe3
Method: DFT, PBE
State: relaxed

Cell and atoms, written as POSCAR:
```
ScBeSe3
1.0
5.1291 0.0000 0.0000
0.0000 5.1291 0.0000
0.0000 0.0000 5.1291
Sc Be Se
1 1 3
Direct
0.0000 0.0000 0.0000
0.5000 0.5000 0.5000
0.0000 0.0000 0.5000
0.0000 0.5000 0.0000
0.5000 0.0000 0.0000
```

Results
size of the total moment = 0.0 μB/f.u.
uncorrected formation energy = 0.15 eV per atom
E above lowest polymorph = 0.501 eV/atom
D(E_F) = 1.1385 states/eV per atom
volume = 27.0 A^3/atom